DFT (GGA-PBE) results for an optimized crystal structure of LiCdFeCo2.

Results
spin magnetization	5.23	μB per formula unit
calculated total energy	-4.110	eV per atom

a b c (Å): 4.0455 4.2688 4.0455
angles (deg): 90.00 90.00 90.00
Last column: magnetic moment on the atom in μB.
Atoms (fractional coordinates):
Li 0.0000 0.0000 0.0000  -0.09
Co 0.0000 0.0000 0.5000  1.16
Co 0.5000 0.0000 0.0000  1.43
Fe 0.5000 0.5000 0.5000  2.97
Cd 0.0000 0.5000 0.0000  -0.07